Density functional theory data (GGA-PBEsol) for a relaxed Cs3TlH crystal.

Calculated total energy ... -1.77 eV per atom

abc: 6.009 6.009 6.009
angles: 90.00 90.00 90.00
Positions (direct):
H 0.000 0.000 0.000
Cs 0.000 0.000 0.500
Cs 0.500 0.000 0.000
Cs 0.000 0.500 0.000
Tl 0.500 0.500 0.500